The following is a PBE calculation of ZrInIr2 after structural relaxation, from the Alexandria database.

It has space group P4/mmm (No. 123), with a = 4.340 Å, b = 4.340 Å, c = 3.714 Å, α = 90.00°, β = 90.00° and γ = 90.00°. Symmetry generates all atoms from Zr at (0.000, 0.000, 0.000), In at (0.500, 0.500, 0.000) and Ir at (0.000, 0.500, 0.500).

The mass density comes out at 14.017 g/cm3. For the formation energy, the calculation gives -531 meV/atom. The value obtained for the total energy is -7.783 eV/atom. As for the density of states at the Fermi level: 1.91 states/eV per cell.